An optimized crystal structure of ThU6S8. Source: Alexandria, functional GGA-PBE.

a b c (Å): 7.1549 7.1549 7.1549
angles (deg): 73.55 73.55 73.55
With the nearest neighbours (Å) after each atom.
Fractional positions:
Th 0.0000 0.0000 0.0000  6 S 2.79
U 0.0862 0.6357 0.4647  1 U 2.45, 1 S 2.74
U 0.3643 0.5353 0.9138  1 U 2.45, 1 S 2.74
U 0.4647 0.0862 0.6357  1 U 2.45, 1 S 2.74
U 0.5353 0.9138 0.3643  1 U 2.45, 1 S 2.74
U 0.6357 0.4647 0.0862  1 U 2.45, 1 S 2.74
U 0.9138 0.3643 0.5353  1 U 2.45, 1 S 2.74
S 0.1273 0.3561 0.8133  4 U 2.74-2.86, 1 Th 2.79
S 0.1867 0.8727 0.6439  4 U 2.74-2.86, 1 Th 2.79
S 0.3099 0.3099 0.3099  6 U 2.75-2.82
S 0.3561 0.8133 0.1273  4 U 2.74-2.86, 1 Th 2.79
S 0.6439 0.1867 0.8727  4 U 2.74-2.86, 1 Th 2.79
S 0.6901 0.6901 0.6901  6 U 2.75-2.82
S 0.8133 0.1273 0.3561  4 U 2.74-2.86, 1 Th 2.79
S 0.8727 0.6439 0.1867  4 U 2.74-2.86, 1 Th 2.79

As for the total energy: -125.8 eV for the cell shown. For the raw formation energy, the calculation gives -1.172 eV per atom. The space group is R-3, No. 148. The calculation puts the size of the total moment at 5.71 Bohr magnetons per cell. The density of states at the Fermi level comes out at 24.9 states/eV/f.u.